VASP calculation (GGA-PBE) on FeSn2Pd after structural relaxation.

abc: 6.599 6.599 6.599
angles: 90.00 90.00 90.00
Space group Fm-3m (No. 225)
One atom of each set of equivalent atoms:
1 Fe 0.000 0.000 0.000 [4 per cell]
2 Sn 0.250 0.250 0.250 [8 per cell]
3 Pd 0.000 0.000 0.500 [4 per cell]

Values from the calculation:
Relative energy among the computed polymorphs in eV/atom: 0.000

---

VASP calculation (GGA-PBE) on FeSn2Pd after structural relaxation.

abc: 3.1863 3.1863 28.3598
angles: 90.00 90.00 120.00
Space group R-3m (No. 166, hexagonal axes)
One atom of each set of equivalent atoms:
1 Fe 0.0000 0.0000 0.0000 [3 per cell]
2 Sn 0.0000 0.0000 0.0921 [6 per cell]
3 Pd 0.0000 0.0000 0.5000 [3 per cell]

Values from the calculation:
Relative energy among the computed polymorphs in eV/atom: 0.219

---

VASP calculation (GGA-PBE) on FeSn2Pd after structural relaxation.

abc: 4.329 4.329 17.739
angles: 90.00 90.00 90.00
Space group I-42d (No. 122)
One atom of each set of equivalent atoms:
1 Fe 0.000 0.000 0.000 [4 per cell]
2 Sn 0.244 0.250 0.125 [8 per cell]
3 Pd 0.000 0.000 0.500 [4 per cell]

Values from the calculation:
Relative energy among the computed polymorphs in eV/atom: 0.145

---

VASP calculation (GGA-PBE) on FeSnPd4 after structural relaxation.

abc: 4.343 18.460 5.058
angles: 90.00 90.00 90.00
Space group Cmc2_1 (No. 36)
One atom of each set of equivalent atoms:
1 Fe 0.000 0.099 0.000 [4 per cell]
2 Sn 0.000 0.358 0.224 [4 per cell]
3 Pd 0.000 0.034 0.561 [4 per cell]
4 Pd 0.000 0.176 0.402 [4 per cell]
5 Pd 0.000 0.235 0.902 [4 per cell]
6 Pd 0.000 0.432 0.733 [4 per cell]

---

VASP calculation (GGA-PBE) on Fe2Sn5Pd12 after structural relaxation.

abc: 13.812 5.563 9.304
angles: 90.00 97.07 90.00
Space group C2/m (No. 12)
One atom of each set of equivalent atoms:
1 Fe 0.000 0.214 0.000 [4 per cell]
2 Sn 0.000 0.500 0.500 [2 per cell]
3 Sn 0.173 0.000 0.908 [4 per cell]
4 Sn 0.192 0.000 0.414 [4 per cell]
5 Pd 0.011 0.000 0.263 [4 per cell]
6 Pd 0.011 0.500 0.791 [4 per cell]
7 Pd 0.150 0.250 0.646 [8 per cell]
8 Pd 0.167 0.255 0.157 [8 per cell]

---

VASP calculation (GGA-PBE) on FeSn4Pd15 after structural relaxation.

abc: 4.016 4.016 20.003
angles: 90.00 90.00 90.00
Space group P4/mmm (No. 123)
One atom of each set of equivalent atoms:
1 Fe 0.000 0.000 0.000 [1 per cell]
2 Sn 0.000 0.000 0.195 [2 per cell]
3 Sn 0.000 0.000 0.398 [2 per cell]
4 Pd 0.000 0.500 0.093 [4 per cell]
5 Pd 0.000 0.500 0.297 [4 per cell]
6 Pd 0.000 0.500 0.500 [2 per cell]
7 Pd 0.500 0.500 0.000 [1 per cell]
8 Pd 0.500 0.500 0.196 [2 per cell]
9 Pd 0.500 0.500 0.398 [2 per cell]

---

For the records above, the corresponding energy of formation values read 12, 231, 156, -76, -219, -415 meV/atom.